1:
DFT (GGA-PBE) results for an optimized crystal structure of Sc2TaAg.

abc: 5.091 5.091 3.111
angles: 90.00 90.00 90.00
Fractional positions:
Ag (0.000, 0.500, 0.500)
Sc (0.500, 0.500, 0.000)
Sc (0.000, 0.000, 0.000)
Ta (0.500, 0.000, 0.500)

Results
Magnetic moment = 0.00 μB per atom

---

2:
DFT (GGA-PBE) results for an optimized crystal structure of Sc2TaAg.

abc: 5.738 5.738 5.738
angles: 147.71 126.16 64.19
Fractional positions:
Sc (0.507, 0.507, 0.000)
Sc (0.993, 0.993, 0.000)
Ag (0.750, 0.250, 0.500)
Ta (0.250, 0.750, 0.500)

Results
Magnetic moment = 0.00 μB per atom

---

Quick one: least stable of them? 2

---

1:
DFT (GGA-PBE) results for an optimized crystal structure of ZrTaBr2.

abc: 5.765 5.765 5.765
angles: 148.92 117.25 71.68
Fractional positions:
Br (0.990, 0.990, 0.000)
Br (0.510, 0.510, 0.000)
Zr (0.250, 0.750, 0.500)
Ta (0.750, 0.250, 0.500)

Results
Magnetic moment = 0.00 μB per atom

---

2:
DFT (GGA-PBE) results for an optimized crystal structure of ZrTaBr2.

abc: 10.024 10.024 10.024
angles: 19.65 19.65 19.65
Fractional positions:
Zr (0.754, 0.754, 0.754)
Br (0.226, 0.226, 0.226)
Br (0.022, 0.022, 0.022)
Ta (0.498, 0.498, 0.498)

Results
Magnetic moment = 0.00 μB per atom

---

Quick one: least stable of them? 1

---

1:
DFT (GGA-PBE) results for an optimized crystal structure of Mo2Pt.

abc: 6.151 6.151 6.151
angles: 90.00 90.00 90.00
Fractional positions:
Mo (0.395, 0.105, 0.895)
Mo (0.395, 0.395, 0.395)
Mo (0.605, 0.605, 0.605)
Mo (0.105, 0.895, 0.395)
Mo (0.605, 0.895, 0.105)
Mo (0.105, 0.605, 0.895)
Mo (0.895, 0.395, 0.105)
Mo (0.895, 0.105, 0.605)
Pt (0.500, 0.500, 0.000)
Pt (0.000, 0.500, 0.500)
Pt (0.000, 0.000, 0.000)
Pt (0.500, 0.000, 0.500)

Results
Magnetic moment = 0.00 μB per atom

---

2:
DFT (GGA-PBE) results for an optimized crystal structure of Mo2Pt.

abc: 3.975 3.975 12.172
angles: 99.40 99.40 90.00
Fractional positions:
Mo (0.418, 0.418, 0.836)
Mo (0.999, 0.499, 0.998)
Mo (0.582, 0.582, 0.164)
Mo (0.501, 0.001, 0.002)
Mo (0.668, 0.168, 0.336)
Mo (0.832, 0.332, 0.664)
Mo (0.251, 0.251, 0.502)
Mo (0.749, 0.749, 0.498)
Pt (0.334, 0.834, 0.668)
Pt (0.166, 0.666, 0.332)
Pt (0.084, 0.084, 0.168)
Pt (0.916, 0.916, 0.832)

Results
Magnetic moment = 0.00 μB per atom

---

Quick one: least stable of them? 1